Record 1
The following is a DFT calculation (PBE) of PrSm5Ho6 after structural relaxation. Values from VASP.

```
&SYSTEM
  ibrav = 0, nat = 12, ntyp = 3
/
ATOMIC_SPECIES
Sm 150.36 Sm.upf
Ho 164.93 Ho.upf
Pr 140.91 Pr.upf
CELL_PARAMETERS angstrom
10.002 -0.553 -1.825
-5.741 8.208 -1.825
-0.758 -1.362 5.638
ATOMIC_POSITIONS crystal
Sm 0.346 0.654 0.000
Ho 0.750 0.750 0.250
Ho 0.430 0.070 0.250
Sm 0.654 0.346 0.000
Sm 0.846 0.154 0.500
Sm 0.500 0.500 0.500
Ho 0.250 0.250 0.750
Ho 0.070 0.430 0.250
Pr 0.000 0.000 0.000
Ho 0.930 0.570 0.750
Ho 0.570 0.930 0.750
Sm 0.154 0.846 0.500
```

ΔH_f (0 K) ... 0.1042 eV per atom



Record 2
The following is a DFT calculation (PBE) of ZnNi2S4 after structural relaxation. Values from VASP.

```
&SYSTEM
  ibrav = 0, nat = 14, ntyp = 3
/
ATOMIC_SPECIES
Ni 58.69 Ni.upf
S 32.06 S.upf
Zn 65.41 Zn.upf
CELL_PARAMETERS angstrom
0.000 4.875 4.875
4.875 0.000 4.875
4.875 4.875 0.000
ATOMIC_POSITIONS crystal
Ni 0.625 0.625 0.625
S 0.389 0.389 0.833
Ni 0.625 0.625 0.125
Zn 0.000 0.000 0.000
S 0.861 0.861 0.861
Ni 0.125 0.625 0.625
Ni 0.625 0.125 0.625
Zn 0.250 0.250 0.250
S 0.861 0.861 0.417
S 0.417 0.861 0.861
S 0.389 0.833 0.389
S 0.833 0.389 0.389
S 0.389 0.389 0.389
S 0.861 0.417 0.861
```

Excess energy over the best structure of this formula in the dataset ... 0 meV per atom
Formation energy (no corrections) ... -0.360 eV/atom



Record 3
The following is a DFT calculation (PBE) of Y2MnAgN after structural relaxation. Values from VASP.

```
&SYSTEM
  ibrav = 0, nat = 5, ntyp = 4
/
ATOMIC_SPECIES
Y 88.91 Y.upf
Ag 107.87 Ag.upf
Mn 54.94 Mn.upf
N 14.01 N.upf
CELL_PARAMETERS angstrom
-0.652 -4.809 1.094
3.525 -0.259 0.962
-1.185 1.224 4.674
ATOMIC_POSITIONS crystal
Y 0.500 0.000 0.000
Ag 0.500 0.500 0.500
Mn 0.000 0.500 0.000
Y 0.000 0.000 0.500
N 0.000 0.000 0.000
```

Excess energy over the best structure of this formula in the dataset ... 0 meV per atom
Formation energy (no corrections) ... -0.674 eV/atom



Record 4
The following is a DFT calculation (PBE) of CsTlSnI6 after structural relaxation. Values from VASP.

```
&SYSTEM
  ibrav = 0, nat = 9, ntyp = 4
/
ATOMIC_SPECIES
I 126.90 I.upf
Sn 118.71 Sn.upf
Tl 204.38 Tl.upf
Cs 132.91 Cs.upf
CELL_PARAMETERS angstrom
8.612 0.013 0.003
4.317 7.451 -0.003
0.003 -0.005 7.880
ATOMIC_POSITIONS crystal
I 0.602 0.051 0.285
I 0.052 0.347 0.284
Sn 0.333 0.333 0.500
Tl 0.666 0.666 0.500
I 0.347 0.053 0.716
I 0.347 0.601 0.284
I 0.051 0.603 0.715
I 0.601 0.347 0.716
Cs 0.000 0.000 0.000
```

Formation energy (no corrections) ... -0.634 eV/atom



Record 5
The following is a DFT calculation (PBE) of Sm2HfZrPt2 after structural relaxation. Values from VASP.

```
&SYSTEM
  ibrav = 0, nat = 12, ntyp = 4
/
ATOMIC_SPECIES
Hf 178.49 Hf.upf
Sm 150.36 Sm.upf
Pt 195.08 Pt.upf
Zr 91.22 Zr.upf
CELL_PARAMETERS angstrom
6.620 0.000 0.000
0.000 6.617 0.000
-3.310 -3.309 6.806
ATOMIC_POSITIONS crystal
Hf 0.500 0.250 0.000
Sm 0.931 0.687 0.375
Sm 0.556 0.813 0.625
Pt 0.356 0.601 0.201
Sm 0.069 0.313 0.625
Sm 0.444 0.187 0.375
Pt 0.644 0.399 0.799
Pt 0.155 0.899 0.799
Hf 0.500 0.750 0.000
Pt 0.845 0.101 0.201
Zr 0.000 0.250 0.000
Zr 0.000 0.750 0.000
```

ΔH_f (0 K) ... -0.8315 eV per atom



Record 6
The following is a DFT calculation (PBE) of Y5Fe after structural relaxation. Values from VASP.

```
&SYSTEM
  ibrav = 0, nat = 6, ntyp = 2
/
ATOMIC_SPECIES
Y 88.91 Y.upf
Fe 55.84 Fe.upf
CELL_PARAMETERS angstrom
-3.843 6.909 3.978
0.898 -8.443 -2.498
2.816 -1.039 4.525
ATOMIC_POSITIONS crystal
Y 0.545 0.455 0.500
Y 0.355 0.645 0.000
Y 0.892 0.108 0.500
Y 0.654 0.346 0.000
Fe 0.000 0.000 0.000
Y 0.222 0.778 0.500
```

Excess energy over the best structure of this formula in the dataset ... 132 meV per atom
ΔH_f (0 K) ... 0.2069 eV per atom



Total moment, respectively: 0.0; 0.0; 0.5; 0.0; 0.0; 1.3 μB per cell.
V, respectively: 394; 232; 91; 505; 298; 171 Å³/cell.
Energy, respectively: -4.55; -4.55; -7.33; -2.47; -7.50; -6.59 eV/atom.